1.
The following is a PBE-GGA calculation of an optimized crystal structure of AlNiBr, from Alexandria.

Calculated values
M_tot   0.00 μB/cell
Space-group type   No. 216
Distance to the lowest polymorph of the same formula   1.01 eV per formula unit

Unit cell a=4.3158 b=4.3158 c=4.3158 alpha=60.00 beta=60.00 gamma=60.00
Positions (direct):
Al (0.0000, 0.0000, 0.0000)
Ni (0.7500, 0.7500, 0.7500)
Br (0.5000, 0.5000, 0.5000)

=====

2.
The following is a PBE-GGA calculation of an optimized crystal structure of Al3NiBr, from Alexandria.

Calculated values
M_tot   0.00 μB/cell
Space-group type   No. 221
Distance to the lowest polymorph of the same formula   0.00 eV per formula unit

Unit cell a=4.6328 b=4.6328 c=4.6328 alpha=90.00 beta=90.00 gamma=90.00
Positions (direct):
Al (0.0000, 0.5000, 0.0000)
Al (0.5000, 0.0000, 0.0000)
Al (0.0000, 0.0000, 0.5000)
Br (0.5000, 0.5000, 0.5000)
Ni (0.0000, 0.0000, 0.0000)

=====

3.
The following is a PBE-GGA calculation of an optimized crystal structure of AlNiBr, from Alexandria.

Calculated values
M_tot   0.00 μB/cell
Space-group type   No. 156
Distance to the lowest polymorph of the same formula   0.00 eV per formula unit

Unit cell a=3.3989 b=3.3989 c=5.3112 alpha=90.00 beta=90.00 gamma=120.00
Positions (direct):
Al (0.0000, 0.0000, 0.9489)
Ni (0.3333, 0.6667, 0.6968)
Br (0.6667, 0.3333, 0.3543)

=====

4.
The following is a PBE-GGA calculation of an optimized crystal structure of AlNiBr2, from Alexandria.

Calculated values
M_tot   0.00 μB/cell
Space-group type   No. 71
Distance to the lowest polymorph of the same formula   0.22 eV per formula unit

Unit cell a=7.7963 b=7.7963 c=7.7963 alpha=153.76 beta=153.50 gamma=37.64
Positions (direct):
Br (0.8836, 0.8836, 0.0000)
Br (0.6164, 0.6164, 0.0000)
Ni (0.7500, 0.2500, 0.5000)
Al (0.2500, 0.7500, 0.5000)

=====

5.
The following is a PBE-GGA calculation of an optimized crystal structure of AlNi2Br, from Alexandria.

Calculated values
M_tot   0.00 μB/cell
Space-group type   No. 47
Distance to the lowest polymorph of the same formula   1.58 eV per formula unit

Unit cell a=3.0214 b=5.2552 c=3.8923 alpha=90.00 beta=90.00 gamma=90.00
Positions (direct):
Ni (0.5000, 0.5000, 0.0000)
Ni (0.0000, 0.0000, 0.0000)
Br (0.0000, 0.5000, 0.5000)
Al (0.5000, 0.0000, 0.5000)

=====

6.
The following is a PBE-GGA calculation of an optimized crystal structure of AlNi2Br, from Alexandria.

Calculated values
M_tot   0.00 μB/cell
Space-group type   No. 122
Distance to the lowest polymorph of the same formula   1.71 eV per formula unit

Unit cell a=4.3332 b=4.3332 c=7.8512 alpha=73.98 beta=73.98 gamma=90.00
Positions (direct):
Al (0.2500, 0.7500, 0.5000)
Al (0.5000, 0.5000, 0.0000)
Ni (0.6139, 0.1250, 0.2500)
Ni (0.1361, 0.6250, 0.2500)
Ni (0.8750, 0.8639, 0.7500)
Ni (0.3750, 0.3861, 0.7500)
Br (0.0000, 0.0000, 0.0000)
Br (0.7500, 0.2500, 0.5000)

=====

7.
The following is a PBE-GGA calculation of an optimized crystal structure of AlNiBr2, from Alexandria.

Calculated values
M_tot   1.00 μB/cell
Space-group type   No. 10
Distance to the lowest polymorph of the same formula   0.77 eV per formula unit

Unit cell a=3.6495 b=6.2324 c=6.7075 alpha=44.27 beta=90.00 gamma=90.00
Positions (direct):
Br (0.0000, 0.1281, 0.0930)
Br (0.0000, 0.3719, 0.4070)
Al (0.5000, 0.7500, 0.7500)
Ni (0.5000, 0.2500, 0.2500)

=====

8.
The following is a PBE-GGA calculation of an optimized crystal structure of AlNi2Br, from Alexandria.

Calculated values
M_tot   0.00 μB/cell
Space-group type   No. 225
Distance to the lowest polymorph of the same formula   1.66 eV per formula unit

Unit cell a=4.3387 b=4.3387 c=4.3387 alpha=60.00 beta=60.00 gamma=60.00
Positions (direct):
Br (0.5000, 0.5000, 0.5000)
Ni (0.2500, 0.2500, 0.2500)
Ni (0.7500, 0.7500, 0.7500)
Al (0.0000, 0.0000, 0.0000)

=====

9.
The following is a PBE-GGA calculation of an optimized crystal structure of Pm6AlNi2Br3, from Alexandria.

Calculated values
M_tot   0.00 μB/cell
Space-group type   No. 12

Unit cell a=3.9903 b=9.1380 c=9.8739 alpha=108.12 beta=101.66 gamma=90.00
Positions (direct):
Br (0.1625, 0.8355, 0.3250)
Br (0.5000, 0.5000, 0.0000)
Br (0.8375, 0.1645, 0.6750)
Ni (0.1672, 0.3379, 0.3345)
Ni (0.8328, 0.6621, 0.6655)
Pm (0.6635, 0.1242, 0.3270)
Pm (0.0136, 0.2514, 0.0271)
Pm (0.3365, 0.8758, 0.6730)
Pm (0.9864, 0.7486, 0.9729)
Pm (0.6796, 0.5527, 0.3592)
Pm (0.3204, 0.4473, 0.6408)
Al (0.5000, 0.0000, 0.0000)

=====

10.
The following is a PBE-GGA calculation of an optimized crystal structure of Rb2AlNiBr6, from Alexandria.

Calculated values
M_tot   1.04 μB/cell
Space-group type   No. 139

Unit cell a=7.4193 b=7.4193 c=7.4006 alpha=59.92 beta=59.92 gamma=90.00
Positions (direct):
Rb (0.2500, 0.7500, 0.5000)
Rb (0.7500, 0.2500, 0.5000)
Br (0.2542, 0.7458, 0.0000)
Br (0.7458, 0.2542, 0.0000)
Br (0.7458, 0.7458, 0.0000)
Br (0.2498, 0.2498, 0.5004)
Br (0.2542, 0.2542, 0.0000)
Br (0.7502, 0.7502, 0.4996)
Ni (0.0000, 0.0000, 0.0000)
Al (0.5000, 0.5000, 0.0000)

=====

11.
The following is a PBE-GGA calculation of an optimized crystal structure of Al2NiRuBr, from Alexandria.

Calculated values
M_tot   1.66 μB/cell
Space-group type   No. 123

Unit cell a=4.8890 b=4.2213 c=4.8890 alpha=90.00 beta=90.00 gamma=90.00
Positions (direct):
Ni (0.0000, 0.5000, 0.0000)
Br (0.0000, 0.0000, 0.0000)
Al (0.0000, 0.0000, 0.5000)
Al (0.5000, 0.0000, 0.0000)
Ru (0.5000, 0.5000, 0.5000)

=====

12.
The following is a PBE-GGA calculation of an optimized crystal structure of AlNiSeBr2, from Alexandria.

Calculated values
M_tot   0.78 μB/cell
Space-group type   No. 123
Distance to the lowest polymorph of the same formula   0.00 eV per formula unit

Unit cell a=5.0625 b=5.0625 c=4.6794 alpha=90.00 beta=90.00 gamma=90.00
Positions (direct):
Br (0.0000, 0.5000, 0.0000)
Br (0.5000, 0.0000, 0.0000)
Al (0.5000, 0.5000, 0.5000)
Ni (0.0000, 0.0000, 0.0000)
Se (0.0000, 0.0000, 0.5000)

=====

13.
The following is a PBE-GGA calculation of an optimized crystal structure of AlNiSe2Br, from Alexandria.

Calculated values
M_tot   0.00 μB/cell
Space-group type   No. 123
Distance to the lowest polymorph of the same formula   0.00 eV per formula unit

Unit cell a=4.7391 b=4.7391 c=4.9480 alpha=90.00 beta=90.00 gamma=90.00
Positions (direct):
Br (0.0000, 0.0000, 0.5000)
Al (0.5000, 0.5000, 0.5000)
Ni (0.0000, 0.0000, 0.0000)
Se (0.0000, 0.5000, 0.0000)
Se (0.5000, 0.0000, 0.0000)

=====

14.
The following is a PBE-GGA calculation of an optimized crystal structure of Sm6AlNi2Br3, from Alexandria.

Calculated values
M_tot   0.00 μB/cell
Space-group type   No. 12

Unit cell a=3.9724 b=9.0937 c=9.8347 alpha=108.22 beta=101.65 gamma=90.00
Positions (direct):
Sm (0.0145, 0.2518, 0.0289)
Sm (0.6798, 0.5533, 0.3597)
Sm (0.3366, 0.8744, 0.6731)
Sm (0.6634, 0.1256, 0.3269)
Sm (0.9855, 0.7482, 0.9711)
Sm (0.3202, 0.4467, 0.6403)
Al (0.5000, 0.0000, 0.0000)
Br (0.1625, 0.8361, 0.3251)
Br (0.5000, 0.5000, 0.0000)
Br (0.8375, 0.1639, 0.6749)
Ni (0.8325, 0.6615, 0.6650)
Ni (0.1675, 0.3385, 0.3350)

=====

15.
The following is a PBE-GGA calculation of an optimized crystal structure of NpAl2Br8, from Alexandria.

Calculated values
M_tot   5.00 μB/cell
Space-group type   No. 12

Unit cell a=6.9073 b=8.3398 c=8.3398 alpha=71.24 beta=97.71 gamma=97.71
Positions (direct):
Br (0.3089, 0.1845, 0.1845)
Br (0.6911, 0.8155, 0.8155)
Br (0.2044, 0.6377, 0.6377)
Br (0.7573, 0.9175, 0.2971)
Br (0.2427, 0.7029, 0.0825)
Br (0.7573, 0.2971, 0.9175)
Br (0.7956, 0.3623, 0.3623)
Br (0.2427, 0.0825, 0.7029)
Al (0.3419, 0.8028, 0.8028)
Al (0.6581, 0.1972, 0.1972)
Np (0.0000, 0.0000, 0.0000)

=====

16.
The following is a PBE-GGA calculation of an optimized crystal structure of AlBrO2, from Alexandria.

Calculated values
M_tot   0.00 μB/cell
Space-group type   No. 166
Distance to the lowest polymorph of the same formula   0.00 eV per formula unit

Unit cell a=6.4733 b=6.4733 c=6.4733 alpha=26.90 beta=26.90 gamma=26.90
Positions (direct):
O (0.1176, 0.1176, 0.1176)
O (0.8824, 0.8824, 0.8824)
Al (0.5000, 0.5000, 0.5000)
Br (0.0000, 0.0000, 0.0000)

=====

17.
The following is a PBE-GGA calculation of an optimized crystal structure of AlBrO2, from Alexandria.

Calculated values
M_tot   4.00 μB/cell
Space-group type   No. 122
Distance to the lowest polymorph of the same formula   0.62 eV per formula unit

Unit cell a=5.3633 b=5.3633 c=5.7340 alpha=62.12 beta=62.12 gamma=90.00
Positions (direct):
O (0.3750, 0.5423, 0.7500)
O (0.4577, 0.1250, 0.2500)
O (0.8750, 0.7077, 0.7500)
O (0.2923, 0.6250, 0.2500)
Br (0.0000, 0.0000, 0.0000)
Br (0.7500, 0.2500, 0.5000)
Al (0.2500, 0.7500, 0.5000)
Al (0.5000, 0.5000, 0.0000)

=====

18.
The following is a PBE-GGA calculation of an optimized crystal structure of AlBrO2, from Alexandria.

Calculated values
M_tot   1.39 μB/cell
Space-group type   No. 166
Distance to the lowest polymorph of the same formula   5.82 eV per formula unit

Unit cell a=7.3745 b=7.3745 c=7.3745 alpha=25.29 beta=25.29 gamma=25.29
Positions (direct):
O (0.0779, 0.0779, 0.0779)
O (0.9221, 0.9221, 0.9221)
Al (0.0000, 0.0000, 0.0000)
Br (0.5000, 0.5000, 0.5000)

=====

19.
The following is a PBE-GGA calculation of an optimized crystal structure of AlBrO2, from Alexandria.

Calculated values
M_tot   0.00 μB/cell
Space-group type   No. 225
Distance to the lowest polymorph of the same formula   7.18 eV per formula unit

Unit cell a=4.0790 b=4.0790 c=4.0790 alpha=60.00 beta=60.00 gamma=60.00
Positions (direct):
Br (0.5000, 0.5000, 0.5000)
Al (0.0000, 0.0000, 0.0000)
O (0.7500, 0.7500, 0.7500)
O (0.2500, 0.2500, 0.2500)

=====

20.
The following is a PBE-GGA calculation of an optimized crystal structure of PaAlBrO4, from Alexandria.

Calculated values
M_tot   0.00 μB/cell
Space-group type   No. 12

Unit cell a=6.6835 b=6.6835 c=6.7638 alpha=78.20 beta=78.20 gamma=55.30
Positions (direct):
Br (0.9739, 0.9739, 0.6750)
Br (0.0261, 0.0261, 0.3250)
O (0.4698, 0.8962, 0.8731)
O (0.1038, 0.5302, 0.1269)
O (0.8962, 0.4698, 0.8731)
O (0.3099, 0.3099, 0.5254)
O (0.5232, 0.5232, 0.2187)
O (0.4768, 0.4768, 0.7813)
O (0.6901, 0.6901, 0.4746)
O (0.5302, 0.1038, 0.1269)
Pa (0.3000, 0.3000, 0.8322)
Pa (0.7000, 0.7000, 0.1678)
Al (0.3707, 0.3707, 0.2626)
Al (0.6293, 0.6293, 0.7374)

=====

| no. | formation energy (no corrections) (eV per formula unit) |
| --- | --- |
| 1 | 0.68 |
| 2 | -1.24 |
| 3 | -0.32 |
| 4 | -0.87 |
| 5 | 1.13 |
| 6 | 1.26 |
| 7 | -0.32 |
| 8 | 1.20 |
| 9 | -9.02 |
| 10 | -10.58 |
| 11 | 6.45 |
| 12 | 0.41 |
| 13 | 1.05 |
| 14 | -8.97 |
| 15 | -11.54 |
| 16 | -5.94 |
| 17 | -5.32 |
| 18 | -0.12 |
| 19 | 1.24 |
| 20 | -18.93 |